This record from Alexandria via LeMat-Bulk describes a geometry-optimized GaPdSeN2 structure. The functional is GGA-PBE.

Unit cell a=3.981 b=3.981 c=5.482 alpha=90.00 beta=90.00 gamma=90.00
Element x y z (fractional)
1 Ga 0.000 0.000 0.000
2 Pd 0.500 0.500 0.500
3 Se 0.500 0.500 0.000
4 N 0.000 0.500 0.500
5 N 0.500 0.000 0.500

Its spin magnetization is 3.3 μB per formula unit. As for the energy above the most stable polymorph in this dataset: 12.4 meV/atom. The electronic total energy is -4.44 eV per atom. As for the symmetry: No. 123. The theoretical density is 5.41 Mg/m³. For the uncorrected formation energy, the calculation gives 6.1 eV per formula unit.

This record from Alexandria via LeMat-Bulk describes a geometry-optimized Rb3CaGe2I9 structure. The functional is GGA-PBE.

Unit cell a=8.550 b=8.550 c=10.466 alpha=90.00 beta=90.00 gamma=120.00
Element x y z (fractional)
1 Rb 0.000 0.000 0.000
2 Rb 0.333 0.667 0.668
3 Rb 0.667 0.333 0.332
4 Ca 0.000 0.000 0.500
5 Ge 0.333 0.667 0.159
6 Ge 0.667 0.333 0.841
7 I 0.000 0.500 0.000
8 I 0.171 0.341 0.329
9 I 0.171 0.829 0.329
10 I 0.341 0.171 0.671
11 I 0.500 0.000 0.000
12 I 0.500 0.500 0.000
13 I 0.659 0.829 0.329
14 I 0.829 0.171 0.671
15 I 0.829 0.659 0.671

Its spin magnetization is 0.0 μB per formula unit. The electronic total energy is -2.88 eV per atom. As for the symmetry: No. 164. The theoretical density is 3.97 Mg/m³. For the uncorrected formation energy, the calculation gives -15.1 eV per formula unit.

This record from Alexandria via LeMat-Bulk describes a geometry-optimized LiScIN2 structure. The functional is GGA-PBE.

Unit cell a=4.107 b=4.107 c=4.744 alpha=90.00 beta=90.00 gamma=90.00
Element x y z (fractional)
1 Li 0.000 0.000 0.000
2 Sc 0.500 0.500 0.500
3 I 0.000 0.000 0.500
4 N 0.000 0.500 0.000
5 N 0.500 0.000 0.000

Its spin magnetization is 2.7 μB per formula unit. As for the energy above the most stable polymorph in this dataset: 856.3 meV/atom. The electronic total energy is -4.26 eV per atom. As for the symmetry: No. 123. The theoretical density is 4.29 Mg/m³. For the uncorrected formation energy, the calculation gives 5.1 eV per formula unit.